# La4ZrU3N8 PBE optimized geometry
data_La4ZrU3N8
_chemical_formula_sum 'La4 Zr1 U3 N8'
_symmetry_space_group_name_H-M 'P 1'
_symmetry_Int_Tables_number 1
_cell_length_a 7.1630
_cell_length_b 7.1630
_cell_length_c 7.1630
_cell_angle_alpha 58.53
_cell_angle_beta 58.53
_cell_angle_gamma 58.53
loop_
_symmetry_equiv_pos_as_xyz
'x,y,z'
loop_
_atom_site_label
_atom_site_fract_x
_atom_site_fract_y
_atom_site_fract_z
La1 0.0000 0.0000 0.0000
La2 0.0000 0.5000 0.5000
La3 0.5000 0.0000 0.5000
La4 0.5000 0.5000 0.0000
Zr1 0.5000 0.5000 0.5000
U1 0.0000 0.0000 0.5000
U2 0.0000 0.5000 0.0000
U3 0.5000 0.0000 0.0000
N1 0.2292 0.7343 0.7343
N2 0.2325 0.2325 0.2325
N3 0.2657 0.2657 0.7708
N4 0.2657 0.7708 0.2657
N5 0.7343 0.2292 0.7343
N6 0.7343 0.7343 0.2292
N7 0.7675 0.7675 0.7675
N8 0.7708 0.2657 0.2657
# **Space-group type**: No. 166
# **E_tot**: -151.72 eV per cell
# **Raw formation energy**: -1.437 eV/atom